Record 1
## TaOsRuRh (GGA-PBE)

Data for a geometry-optimized TaOsRuRh structure.

Cell lengths 3.8878, 3.8938, 3.9491 Å; angles 90.00, 90.00, 90.00 degrees
With the nearest neighbours (Å) after each atom.
Fractional coordinates of all 4 atoms:
Rh 0.0000 0.5000 0.5000  4 Ta 2.75, 4 Os 2.77, 4 Ru 2.77
Ru 0.0000 0.0000 0.0000  4 Os 2.75, 4 Ta 2.77, 4 Rh 2.77
Os 0.5000 0.5000 0.0000  4 Ru 2.75, 4 Rh 2.77, 4 Ta 2.77
Ta 0.5000 0.0000 0.5000  4 Rh 2.75, 4 Ru 2.77, 4 Os 2.77

The calculation puts the density of states at the Fermi level at 0.982 states/eV/atom. As for the space group: Pmmm. The energy of formation from the pure elements comes out at -0.31 eV per atom.

***

Record 2
## TcOsRuRh (GGA-PBE)

Data for a geometry-optimized TcOsRuRh structure.

Cell lengths 3.8696, 3.8697, 4.6826 Å; angles 114.44, 114.40, 90.00 degrees
With the nearest neighbours (Å) after each atom.
Fractional coordinates of all 4 atoms:
Rh 0.1198 0.1197 0.2396  4 Os 2.71, 4 Ru 2.71, 4 Tc 2.74
Ru 0.8697 0.3698 0.7395  4 Tc 2.71, 4 Rh 2.71, 4 Os 2.74
Tc 0.6198 0.6199 0.2397  4 Ru 2.71, 4 Os 2.71, 4 Rh 2.74
Os 0.3697 0.8697 0.7395  4 Rh 2.71, 4 Tc 2.71, 4 Ru 2.74

The calculation puts the density of states at the Fermi level at 1.104 states/eV/atom. As for the space group: I-4m2. The energy of formation from the pure elements comes out at 0.04 eV per atom.

***

Record 3
## VOsRuRh (GGA-PBE)

Data for a geometry-optimized VOsRuRh structure.

Cell lengths 3.8184, 3.8181, 4.6810 Å; angles 114.05, 114.07, 90.00 degrees
With the nearest neighbours (Å) after each atom.
Fractional coordinates of all 4 atoms:
V 0.6199 0.6197 0.2397  4 Rh 2.70, 4 Os 2.70, 4 Ru 2.70
Ru 0.3698 0.8697 0.7395  4 Os 2.70, 4 Rh 2.70, 4 V 2.70
Os 0.8697 0.3699 0.7395  4 Ru 2.70, 4 V 2.70, 4 Rh 2.70
Rh 0.1198 0.1198 0.2396  4 V 2.70, 4 Ru 2.70, 4 Os 2.70

The calculation puts the density of states at the Fermi level at 1.123 states/eV/atom. As for the space group: I-4m2. The energy of formation from the pure elements comes out at -0.11 eV per atom.

***

Record 4
## OsRuRhW (GGA-PBE)

Data for a geometry-optimized OsRuRhW structure.

Cell lengths 3.9042, 3.9042, 4.7240 Å; angles 114.45, 114.41, 90.00 degrees
With the nearest neighbours (Å) after each atom.
Fractional coordinates of all 4 atoms:
Rh 0.1198 0.1199 0.2395  4 Os 2.73-2.74, 4 Ru 2.74, 4 W 2.76
W 0.6199 0.6198 0.2397  4 Ru 2.73-2.74, 4 Os 2.73-2.74, 4 Rh 2.76
Os 0.3698 0.8699 0.7395  4 W 2.73-2.74, 4 Rh 2.73-2.74, 4 Ru 2.76
Ru 0.8697 0.3694 0.7395  4 W 2.73-2.74, 4 Rh 2.74, 4 Os 2.76

The calculation puts the density of states at the Fermi level at 0.922 states/eV/atom. As for the space group: I-4m2. The energy of formation from the pure elements comes out at -0.02 eV per atom.

***

Record 5
## OsRh3S (GGA-PBE)

Data for a geometry-optimized OsRh3S structure.

Cell lengths 4.3330, 4.3330, 4.3330 Å; angles 90.00, 90.00, 90.00 degrees
With the nearest neighbours (Å) after each atom.
Fractional coordinates of all 5 atoms:
Rh 0.0000 0.5000 0.0000  2 S 2.17
Rh 0.0000 0.0000 0.5000  2 S 2.17
Rh 0.5000 0.0000 0.0000  2 S 2.17
S 0.0000 0.0000 0.0000  6 Rh 2.17
Os 0.5000 0.5000 0.5000  12 Rh 3.06

Its raw formation energy is 19.298 kcal/mol of atoms. The offset from the most stable computed form is 0.0 meV/atom. The calculation puts the density of states at the Fermi level at 1.935 states/eV/atom. As for the space group: Pm-3m.

***

Record 6
## OsRh3S (GGA-PBE)

Data for a geometry-optimized OsRh3S structure.

Cell lengths 4.7046, 4.7046, 4.7046 Å; angles 90.00, 90.00, 90.00 degrees
With the nearest neighbours (Å) after each atom.
Fractional coordinates of all 5 atoms:
Rh 0.0000 0.0000 0.5000  2 Os 2.35
S 0.5000 0.5000 0.5000  12 Rh 3.33
Rh 0.0000 0.5000 0.0000  2 Os 2.35
Rh 0.5000 0.0000 0.0000  2 Os 2.35
Os 0.0000 0.0000 0.0000  6 Rh 2.35

Its raw formation energy is 35.352 kcal/mol of atoms. The offset from the most stable computed form is 696.2 meV/atom. The calculation puts the density of states at the Fermi level at 1.516 states/eV/atom. As for the space group: Pm-3m.

***

Record 7
## Os3RhS (GGA-PBE)

Data for a geometry-optimized Os3RhS structure.

Cell lengths 4.3008, 4.3008, 4.3008 Å; angles 90.00, 90.00, 90.00 degrees
With the nearest neighbours (Å) after each atom.
Fractional coordinates of all 5 atoms:
Os 0.0000 0.5000 0.0000  2 S 2.15
S 0.0000 0.0000 0.0000  6 Os 2.15
Os 0.5000 0.0000 0.0000  2 S 2.15
Os 0.0000 0.0000 0.5000  2 S 2.15
Rh 0.5000 0.5000 0.5000  12 Os 3.04

Its raw formation energy is 27.412 kcal/mol of atoms. The offset from the most stable computed form is 0.0 meV/atom. The calculation puts the density of states at the Fermi level at 1.178 states/eV/atom. As for the space group: Pm-3m.

***

Record 8
## Os3RhS (GGA-PBE)

Data for a geometry-optimized Os3RhS structure.

Cell lengths 4.7020, 4.7020, 4.7020 Å; angles 90.00, 90.00, 90.00 degrees
With the nearest neighbours (Å) after each atom.
Fractional coordinates of all 5 atoms:
Os 0.0000 0.0000 0.5000  2 Rh 2.35
Os 0.5000 0.0000 0.0000  2 Rh 2.35
Rh 0.0000 0.0000 0.0000  6 Os 2.35
S 0.5000 0.5000 0.5000  12 Os 3.32
Os 0.0000 0.5000 0.0000  2 Rh 2.35

Its raw formation energy is 64.608 kcal/mol of atoms. The offset from the most stable computed form is 1613.0 meV/atom. The calculation puts the density of states at the Fermi level at 1.957 states/eV/atom. As for the space group: Pm-3m.

***

For the records above, the corresponding size of the total moment values read 0.0; 0.0; 0.0; 0.0; 2.8; 0.0; 0.0; 2.6 μB/f.u..